1.
VASP calculation (PBE) on a relaxed structure of NbTcNi.

The structure in POSCAR format:
```
NbTcNi
1.0
0.000 2.894 2.894
2.894 0.000 2.894
2.894 2.894 0.000
Nb Tc Ni
1 1 1
direct
0.000 0.000 0.000 Nb
0.500 0.500 0.500 Tc
0.250 0.250 0.250 Ni
```

Computed properties:
The value obtained for the energy relative to the lowest polymorph listed for this composition is 0.000 eV per atom. The calculated formation energy is 0.424 eV/atom. The total DFT energy (no corrections) comes out at -8.250 eV/atom.

***

2.
VASP calculation (PBE) on a relaxed structure of HoBPt.

The structure in POSCAR format:
```
HoBPt
1.0
0.000 2.935 2.935
2.935 0.000 2.935
2.935 2.935 0.000
Ho B Pt
1 1 1
direct
0.000 0.000 0.000 Ho
0.250 0.250 0.250 B
0.500 0.500 0.500 Pt
```

Computed properties:
The value obtained for the energy relative to the lowest polymorph listed for this composition is 0.000 eV per atom. The total DFT energy (no corrections) comes out at -6.087 eV/atom.

***

3.
VASP calculation (PBE) on a relaxed structure of LuZnCd.

The structure in POSCAR format:
```
LuZnCd
1.0
0.000 3.305 3.305
3.305 0.000 3.305
3.305 3.305 0.000
Lu Zn Cd
1 1 1
direct
0.000 0.000 0.000 Lu
0.500 0.500 0.500 Zn
0.250 0.250 0.250 Cd
```

Computed properties:
The calculated formation energy is 0.040 eV/atom. The total DFT energy (no corrections) comes out at -2.188 eV/atom.

***

4.
VASP calculation (PBE) on a relaxed structure of Cu5Ag4.

The structure in POSCAR format:
```
Cu5Ag4
1.0
-1.401 1.401 16.724
1.401 -1.401 16.724
1.401 1.401 -16.724
Cu Ag
5 4
direct
0.000 0.000 0.000 Cu
0.112 0.112 0.000 Cu
0.227 0.227 0.000 Cu
0.773 0.773 0.000 Cu
0.888 0.888 0.000 Cu
0.331 0.331 0.000 Ag
0.444 0.444 0.000 Ag
0.556 0.556 0.000 Ag
0.669 0.669 0.000 Ag
```

Computed properties:
The value obtained for the energy relative to the lowest polymorph listed for this composition is 0.053 eV per atom. The calculated formation energy is 0.093 eV/atom. The total DFT energy (no corrections) comes out at -3.227 eV/atom.

***

5.
VASP calculation (PBE) on a relaxed structure of HoInHgTe3.

The structure in POSCAR format:
```
HoInHgTe3
1.0
15.054 0.000 0.000
0.000 4.445 0.000
0.000 0.000 11.813
Ho In Hg Te
4 4 4 12
direct
0.026 0.250 0.159 Ho
0.474 0.750 0.659 Ho
0.526 0.250 0.341 Ho
0.974 0.750 0.841 Ho
0.239 0.250 0.450 In
0.261 0.750 0.950 In
0.739 0.250 0.050 In
0.761 0.750 0.550 In
0.021 0.750 0.391 Hg
0.479 0.250 0.891 Hg
0.521 0.750 0.109 Hg
0.979 0.250 0.609 Hg
0.102 0.250 0.922 Te
0.102 0.750 0.624 Te
0.160 0.750 0.228 Te
0.340 0.250 0.728 Te
0.398 0.250 0.124 Te
0.398 0.750 0.422 Te
0.602 0.250 0.578 Te
0.602 0.750 0.876 Te
0.660 0.750 0.272 Te
0.840 0.250 0.772 Te
0.898 0.250 0.376 Te
0.898 0.750 0.078 Te
```

Computed properties:
The value obtained for the energy relative to the lowest polymorph listed for this composition is 0.033 eV per atom. The total DFT energy (no corrections) comes out at -3.484 eV/atom.

***

6.
VASP calculation (PBE) on a relaxed structure of RbGaOs.

The structure in POSCAR format:
```
RbGaOs
1.0
0.000 3.691 3.691
3.691 0.000 3.691
3.691 3.691 0.000
Rb Ga Os
1 1 1
direct
0.000 0.000 0.000 Rb
0.750 0.750 0.750 Ga
0.250 0.250 0.250 Os
```

Computed properties:
The value obtained for the energy relative to the lowest polymorph listed for this composition is 0.845 eV per atom. The total DFT energy (no corrections) comes out at -2.786 eV/atom.

***

7.
VASP calculation (PBE) on a relaxed structure of DyTm2In3AgPd2.

The structure in POSCAR format:
```
DyTm2In3AgPd2
1.0
3.754 0.000 0.000
0.000 6.765 3.900
0.000 -6.765 3.900
Dy Tm In Ag Pd
1 2 3 1 2
direct
0.000 0.000 0.000 Dy
0.000 0.408 0.816 Tm
0.000 0.816 0.408 Tm
0.500 0.138 0.409 In
0.500 0.409 0.138 In
0.500 0.678 0.678 In
0.000 0.409 0.409 Ag
0.500 0.076 0.740 Pd
0.500 0.740 0.076 Pd
```

Computed properties:
The total DFT energy (no corrections) comes out at -4.568 eV/atom.

***

8.
VASP calculation (PBE) on a relaxed structure of SmNb2Sb2.

The structure in POSCAR format:
```
SmNb2Sb2
1.0
5.864 0.000 0.000
0.000 11.901 0.000
0.000 0.000 3.604
Sm Nb Sb
2 4 4
direct
0.000 0.000 0.000 Sm
0.500 0.500 0.000 Sm
0.246 0.248 0.500 Nb
0.254 0.748 0.500 Nb
0.746 0.252 0.500 Nb
0.754 0.752 0.500 Nb
0.000 0.381 0.000 Sb
0.000 0.619 0.000 Sb
0.500 0.119 0.000 Sb
0.500 0.881 0.000 Sb
```

Computed properties:
The total DFT energy (no corrections) comes out at -6.691 eV/atom.

***

| no. | V (Å³/cell) |
| --- | --- |
| 1 | 48 |
| 2 | 51 |
| 3 | 72 |
| 4 | 131 |
| 5 | 790 |
| 6 | 101 |
| 7 | 198 |
| 8 | 251 |